Entry 1:
Here is a relaxed structure of Tb2DyY3Te6 from Alexandria via LeMat-Bulk. Energies are from PBE.

abc: 4.350 8.768 9.756
angles: 102.93 102.88 90.00
Fractional coordinates of all 12 atoms:
Te (0.334, 0.918, 0.668)
Dy (0.500, 0.000, 0.000)
Y (0.833, 0.167, 0.665)
Te (0.000, 0.751, 0.001)
Te (0.000, 0.249, 0.999)
Tb (0.833, 0.666, 0.666)
Te (0.334, 0.417, 0.667)
Tb (0.167, 0.334, 0.334)
Y (0.500, 0.500, 0.000)
Te (0.666, 0.583, 0.333)
Te (0.666, 0.082, 0.332)
Y (0.167, 0.833, 0.335)

## Properties
Total moment, Bohr magnetons per cell: 0.000
Calculated volume, Å³/atom: 29.42
N(E_F), states/eV/cell: 6.4
Formation energy without anion corrections, eV per atom: -1.305


Entry 2:
Here is a relaxed structure of RuAu3S from Alexandria via LeMat-Bulk. Energies are from PBE.

abc: 5.025 5.025 5.025
angles: 90.00 90.00 90.00
Last column: magnetic moment on the atom in μB.
Fractional coordinates of all 5 atoms:
Ru (0.000, 0.000, 0.000)  1.92
Au (0.000, 0.500, 0.000)  0.15
Au (0.500, 0.000, 0.000)  0.04
S (0.500, 0.500, 0.500)  0.36
Au (0.000, 0.000, 0.500)  0.30

## Properties
Energy above the most stable polymorph in this dataset, meV per atom: 415
Total moment, Bohr magnetons per cell: 3.012
Calculated volume, Å³/atom: 25.37
N(E_F), states/eV/cell: 7.6
Formation energy without anion corrections, eV per atom: 1.456


Entry 3:
Here is a relaxed structure of TlCrTe3 from Alexandria via LeMat-Bulk. Energies are from PBE.

abc: 5.331 5.331 5.331
angles: 90.00 90.00 90.00
Last column: magnetic moment on the atom in μB.
Fractional coordinates of all 5 atoms:
Cr (0.000, 0.000, 0.000)  2.87
Te (0.500, 0.000, 0.000)  -0.18
Te (0.000, 0.500, 0.000)  -0.18
Tl (0.500, 0.500, 0.500)  0.01
Te (0.000, 0.000, 0.500)  -0.15

## Properties
Energy above the most stable polymorph in this dataset, meV per atom: 190
Total moment, Bohr magnetons per cell: 2.320
Calculated volume, Å³/atom: 30.29
N(E_F), states/eV/cell: 6.2
Formation energy without anion corrections, eV per atom: 0.092


Entry 4:
Here is a relaxed structure of Sr5In from Alexandria via LeMat-Bulk. Energies are from PBE.

abc: 5.885 5.806 8.436
angles: 110.13 90.00 90.00
Fractional coordinates of all 6 atoms:
Sr (0.500, 0.846, 0.691)
Sr (0.500, 0.500, 0.000)
Sr (0.000, 0.649, 0.298)
Sr (0.000, 0.351, 0.702)
In (0.000, 0.000, 0.000)
Sr (0.500, 0.154, 0.309)

## Properties
Formation energy, eV per atom: -0.095
Energy above the most stable polymorph in this dataset, meV per atom: 38
Total moment, Bohr magnetons per cell: 0.000
Calculated volume, Å³/atom: 45.11
N(E_F), states/eV/cell: 6.5


Entry 5:
Here is a relaxed structure of ThSc2Co from Alexandria via LeMat-Bulk. Energies are from PBE.

abc: 5.950 6.724 9.042
angles: 90.00 90.00 90.00
Fractional coordinates of all 16 atoms:
Sc (0.666, 0.829, 0.568)
Sc (0.666, 0.829, 0.932)
Sc (0.166, 0.671, 0.068)
Sc (0.834, 0.329, 0.568)
Sc (0.166, 0.671, 0.432)
Th (0.354, 0.454, 0.750)
Co (0.444, 0.874, 0.250)
Sc (0.334, 0.171, 0.068)
Co (0.056, 0.374, 0.250)
Sc (0.834, 0.329, 0.932)
Co (0.556, 0.126, 0.750)
Sc (0.334, 0.171, 0.432)
Th (0.646, 0.546, 0.250)
Th (0.146, 0.954, 0.750)
Co (0.944, 0.626, 0.750)
Th (0.854, 0.046, 0.250)

## Properties
Formation energy, eV per atom: -0.229
Energy above the most stable polymorph in this dataset, meV per atom: 0
Total moment, Bohr magnetons per cell: 0.000
Calculated volume, Å³/atom: 22.61
N(E_F), states/eV/cell: 18.6


Entry 6:
Here is a relaxed structure of PrErTl from Alexandria via LeMat-Bulk. Energies are from PBE.

abc: 3.813 5.309 5.309
angles: 120.00 90.00 90.00
Fractional coordinates of all 3 atoms:
Tl (0.126, 0.000, 0.000)
Er (0.197, 0.667, 0.333)
Pr (0.677, 0.333, 0.667)

## Properties
Formation energy, eV per atom: -0.170
Energy above the most stable polymorph in this dataset, meV per atom: 82
Total moment, Bohr magnetons per cell: 0.000
Calculated volume, Å³/atom: 31.03
N(E_F), states/eV/cell: 1.9


Entry 7:
Here is a relaxed structure of Dy3Er2Sc from Alexandria via LeMat-Bulk. Energies are from PBE.

abc: 3.416 8.869 12.685
angles: 78.21 82.26 78.90
Fractional coordinates of all 12 atoms:
Er (0.820, 0.480, 0.880)
Dy (0.599, 0.827, 0.974)
Sc (0.437, 0.484, 0.641)
Dy (0.257, 0.192, 0.294)
Sc (0.563, 0.516, 0.359)
Dy (0.401, 0.173, 0.026)
Er (0.656, 0.158, 0.531)
Er (0.344, 0.842, 0.469)
Dy (0.743, 0.808, 0.706)
Er (0.180, 0.520, 0.120)
Dy (0.037, 0.144, 0.781)
Dy (0.963, 0.856, 0.219)

## Properties
Formation energy, eV per atom: 0.145
Energy above the most stable polymorph in this dataset, meV per atom: 8
Total moment, Bohr magnetons per cell: 0.042
Calculated volume, Å³/atom: 30.61
N(E_F), states/eV/cell: 21.0


Entry 8:
Here is a relaxed structure of Li2LaCl from Alexandria via LeMat-Bulk. Energies are from PBE.

abc: 3.502 3.502 8.548
angles: 90.00 90.00 111.36
Fractional coordinates of all 4 atoms:
Li (0.000, 0.000, 0.035)
La (0.500, 0.500, 0.738)
Cl (0.000, 0.000, 0.442)
Li (0.500, 0.500, 0.285)

## Properties
Energy above the most stable polymorph in this dataset, meV per atom: 81
Total moment, Bohr magnetons per cell: 0.000
Calculated volume, Å³/atom: 24.41
N(E_F), states/eV/cell: 1.6
Formation energy without anion corrections, eV per atom: -0.639


Entry 9:
Here is a relaxed structure of Ba3SrP2N6 from Alexandria via LeMat-Bulk. Energies are from PBE.

abc: 6.155 6.155 7.297
angles: 90.00 90.00 120.00
Fractional coordinates of all 12 atoms:
N (0.368, 0.184, 0.730)
N (0.816, 0.184, 0.730)
Sr (0.000, 0.000, 0.500)
N (0.632, 0.816, 0.270)
Ba (0.000, 0.000, 0.000)
Ba (0.667, 0.333, 0.299)
P (0.667, 0.333, 0.738)
N (0.816, 0.632, 0.730)
Ba (0.333, 0.667, 0.701)
N (0.184, 0.816, 0.270)
P (0.333, 0.667, 0.262)
N (0.184, 0.368, 0.270)

## Properties
Total moment, Bohr magnetons per cell: 0.000
Calculated volume, Å³/atom: 19.95
Formation energy without anion corrections, eV per atom: -0.857


Entry 10:
Here is a relaxed structure of BaCa2Zn2Ga2 from Alexandria via LeMat-Bulk. Energies are from PBE.

abc: 4.637 4.637 10.631
angles: 77.40 77.40 60.00
Fractional coordinates of all 7 atoms:
Ba (0.000, 0.000, 0.000)
Ga (0.748, 0.748, 0.755)
Ca (0.871, 0.871, 0.386)
Zn (0.587, 0.587, 0.238)
Ga (0.252, 0.252, 0.245)
Ca (0.129, 0.129, 0.614)
Zn (0.413, 0.413, 0.762)

## Properties
Formation energy, eV per atom: -0.349
Total moment, Bohr magnetons per cell: 0.000
Calculated volume, Å³/atom: 27.37
N(E_F), states/eV/cell: 3.2


Entry 11:
Here is a relaxed structure of InBrCl from Alexandria via LeMat-Bulk. Energies are from PBE.

abc: 4.308 4.308 6.340
angles: 90.00 90.00 120.00
Fractional coordinates of all 3 atoms:
Cl (0.667, 0.333, 0.441)
Br (0.000, 0.000, 0.905)
In (0.333, 0.667, 0.654)

## Properties
Total moment, Bohr magnetons per cell: 0.000
Calculated volume, Å³/atom: 33.97
N(E_F), states/eV/cell: 4.1
Formation energy without anion corrections, eV per atom: -0.691


Entry 12:
Here is a relaxed structure of CuIr2Au from Alexandria via LeMat-Bulk. Energies are from PBE.

abc: 2.753 2.753 9.341
angles: 90.00 90.00 120.42
Fractional coordinates of all 4 atoms:
Ir (0.000, 0.000, 0.995)
Au (0.000, 0.000, 0.510)
Cu (0.500, 0.500, 0.758)
Ir (0.500, 0.500, 0.237)

## Properties
Formation energy, eV per atom: 0.281
Energy above the most stable polymorph in this dataset, meV per atom: 164
Total moment, Bohr magnetons per cell: 0.000
Calculated volume, Å³/atom: 15.26
N(E_F), states/eV/cell: 4.3